[1]
LiNd3Ga4 PBE relaxed; calculated total energy = -31.2 eV/cell; calculated formation energy = -359 meV/atom; ρ = 5.77 g/cm3; DOS at the Fermi energy = 4.74 states/eV per cell
1.0
-1.882 3.406 8.065
1.882 -3.406 8.065
1.882 3.406 -8.065
Li Nd Ga
1 3 4
direct
0.000 0.000 0.000 Li
0.213 0.713 0.500 Nd
0.500 0.500 0.000 Nd
0.787 0.287 0.500 Nd
0.162 0.881 0.280 Ga
0.399 0.119 0.280 Ga
0.601 0.881 0.720 Ga
0.838 0.119 0.720 Ga

[2]
PmSn4Ru PBE relaxed; calculated total energy = -29.0 eV/cell; calculated formation energy = 181 meV/atom; ρ = 7.40 g/cm3; DOS at the Fermi energy = 7.09 states/eV per cell
1.0
-2.922 2.922 4.741
2.922 -2.922 4.741
2.922 2.922 -4.741
Pm Sn Ru
1 4 1
direct
0.000 0.000 0.000 Pm
0.335 0.335 0.000 Sn
0.529 0.029 0.500 Sn
0.665 0.665 0.000 Sn
0.971 0.471 0.500 Sn
0.250 0.750 0.500 Ru

[3]
La2PmPaSb4 PBE relaxed; E_form (uncorrected) = -1.045 eV/atom; calculated total energy = -49.0 eV/cell; ρ = 7.24 g/cm3; DOS at the Fermi energy = 6.96 states/eV per cell
1.0
7.816 0.000 0.000
0.000 4.511 0.000
-2.592 0.000 7.418
La Pm Pa Sb
2 1 1 4
direct
0.000 0.000 0.000 La
0.500 0.500 0.000 La
0.000 0.500 0.500 Pm
0.500 0.000 0.500 Pa
0.252 0.000 0.739 Sb
0.259 0.500 0.263 Sb
0.741 0.500 0.737 Sb
0.748 0.000 0.261 Sb